Entry 1:
A geometry-optimized Cu2AuBr structure. Source: Alexandria via LeMat-Bulk, functional PBEsol.

* energy relative to the elements, uncorrected: 110 kJ/mol of formula units
* space-group type: No. 123

Unit cell a=4.425 b=4.425 c=3.185 alpha=90.00 beta=90.00 gamma=90.00
Element x y z (fractional)
Cu 0.000 0.500 0.000
Cu 0.500 0.000 0.000
Au 0.000 0.000 0.500
Br 0.500 0.500 0.500


Entry 2:
A geometry-optimized SrLaMgTaO6 structure. Source: Alexandria via LeMat-Bulk, functional PBEsol.

* energy relative to the elements, uncorrected: -3046 kJ/mol of formula units
* space-group type: No. 7

Unit cell a=5.605 b=5.663 c=9.716 alpha=90.00 beta=125.22 gamma=90.00
Element x y z (fractional)
Sr 0.000 0.221 0.000
Sr 0.000 0.779 0.500
La 0.483 0.291 0.498
La 0.483 0.709 0.998
Mg 0.244 0.247 0.750
Mg 0.244 0.753 0.250
Ta 0.744 0.246 0.250
Ta 0.744 0.754 0.750
O 0.000 0.479 0.790
O 0.000 0.521 0.290
O 0.073 0.046 0.294
O 0.073 0.954 0.794
O 0.436 0.463 0.215
O 0.436 0.537 0.715
O 0.500 0.038 0.706
O 0.500 0.962 0.206
O 0.567 0.272 0.006
O 0.567 0.728 0.506
O 0.902 0.233 0.494
O 0.902 0.767 0.994


no.,total DFT energy (no corrections) (eV/atom)
1,-3.33
2,-8.45